# 1
A plane-wave DFT calculation with PBE was carried out for Dy4Nb6O19 after structural relaxation.

## Properties
As for the energy relative to the elements, uncorrected: -2813.5 meV/atom.

a = 9.1457 Å, b = 9.1457 Å, c = 9.1457 Å
α = 90.00°, β = 90.00°, γ = 90.00°
Closest atoms and distances in Å follow each position.
Space group I23 (No. 197)
Symmetry-distinct sites (fractional):
Dy  0.1439  0.1439  0.8561 (multiplicity 8)  7 O 2.27-2.51
Nb  0.0000  0.3472  0.5000 (multiplicity 12)  6 O 1.99-2.11
O  0.0000  0.0000  0.0000 (multiplicity 2)  4 Dy 2.28
O  0.0000  0.0000  0.3285 (multiplicity 12)  2 Nb 2.10
O  0.0434  0.3186  0.7117 (multiplicity 24)  2 Nb 1.99-2.11



# 2
A plane-wave DFT calculation with PBE was carried out for NbTeMo3 after structural relaxation.

## Properties
For the energy above the most stable polymorph in this dataset, the calculation gives 122 meV/atom. As for the energy relative to the elements, uncorrected: 1873.1 meV/atom.

a = 4.8101 Å, b = 4.8101 Å, c = 4.8101 Å
α = 90.00°, β = 90.00°, γ = 90.00°
Closest atoms and distances in Å follow each position.
Space group Pm-3m (No. 221)
Symmetry-distinct sites (fractional):
Nb  0.0000  0.0000  0.0000 (multiplicity 1)  12 Mo 3.40
Te  0.5000  0.5000  0.5000 (multiplicity 1)  6 Mo 2.41
Mo  0.0000  0.5000  0.5000 (multiplicity 3)  2 Te 2.41



# 3
A plane-wave DFT calculation with PBE was carried out for HgSb2Pt after structural relaxation.

## Properties
As for the energy relative to the elements, uncorrected: 251.1 meV/atom.

a = 7.1573 Å, b = 7.1573 Å, c = 7.1573 Å
α = 90.00°, β = 90.00°, γ = 90.00°
Closest atoms and distances in Å follow each position.
Space group F-43m (No. 216)
Symmetry-distinct sites (fractional):
Hg  0.0000  0.0000  0.0000 (multiplicity 4)  4 Sb 3.10, 4 Pt 3.10
Sb  0.0000  0.0000  0.5000 (multiplicity 4)  4 Sb 3.10, 4 Pt 3.10
Sb  0.2500  0.2500  0.2500 (multiplicity 4)  4 Hg 3.10, 4 Sb 3.10
Pt  0.2500  0.2500  0.7500 (multiplicity 4)  4 Hg 3.10, 4 Sb 3.10



# 4
A plane-wave DFT calculation with PBE was carried out for TaVGa4 after structural relaxation.

## Properties
The value obtained for the formation energy is -4 kJ/mol of formula units.

a = 4.5720 Å, b = 7.5412 Å, c = 5.4341 Å
α = 90.00°, β = 90.00°, γ = 90.00°
Closest atoms and distances in Å follow each position.
Space group Cmmm (No. 65)
Symmetry-distinct sites (fractional):
Ta  0.0000  0.0000  0.0000 (multiplicity 2)  2 V 2.72, 12 Ga 2.86-2.96
V  0.0000  0.0000  0.5000 (multiplicity 2)  2 Ta 2.72, 12 Ga 2.83-2.93
Ga  0.0000  0.3320  0.2560 (multiplicity 8)  5 Ga 2.53-2.78, 1 V 2.83



# 5
A plane-wave DFT calculation with PBE was carried out for K2Rb4Cd2Au after structural relaxation.

## Properties
The value obtained for the formation energy is -46 kJ/mol of formula units.

a = 15.1796 Å, b = 8.9244 Å, c = 7.4118 Å
α = 90.00°, β = 102.39°, γ = 90.00°
Closest atoms and distances in Å follow each position.
Space group C2/m (No. 12)
Symmetry-distinct sites (fractional):
K  0.1480  0.0000  0.3067 (multiplicity 4)  1 Cd 3.78
Rb  0.1133  0.2634  0.7722 (multiplicity 8)  1 Au 3.39
Cd  0.1558  0.5000  0.2822 (multiplicity 4)  1 Au 2.80
Au  0.0000  0.5000  0.0000 (multiplicity 2)  2 Cd 2.80



# 6
A plane-wave DFT calculation with PBE was carried out for Y2HgCl after structural relaxation.

## Properties
For the energy above the most stable polymorph in this dataset, the calculation gives 188 meV/atom. As for the energy relative to the elements, uncorrected: -714.9 meV/atom.

a = 4.1789 Å, b = 6.1398 Å, c = 8.1568 Å
α = 90.00°, β = 90.00°, γ = 90.00°
Closest atoms and distances in Å follow each position.
Space group Immm (No. 71)
Symmetry-distinct sites (fractional):
Y  0.0000  0.0000  0.2243 (multiplicity 4)  2 Cl 2.78, 2 Hg 3.07
Hg  0.0000  0.5000  0.0000 (multiplicity 2)  4 Y 3.07
Cl  0.0000  0.5000  0.5000 (multiplicity 2)  4 Y 2.78



Computed volume (Å³/atom) in order:
13.19; 22.26; 22.92; 15.61; 54.48; 26.16
Computed electronic total energy (eV per atom) in order:
-8.780; -7.268; -3.396; -5.520; -1.295; -4.484